1.
The following is a GGA-PBE calculation of a geometry-optimized Sc2Cu2Se structure, from Alexandria.

Properties
The space-group type is P4/mbm, No. 127. The value obtained for the uncorrected formation energy is -0.438 eV per atom. The calculation puts the spin magnetization at 0.00 Bohr magnetons per cell.

Unit cell a=7.115 b=7.115 c=3.821 alpha=90.00 beta=90.00 gamma=90.00
Element x y z (fractional)
Sc: 0.171 0.329 0.000
Sc: 0.329 0.829 0.000
Sc: 0.671 0.171 0.000
Sc: 0.829 0.671 0.000
Cu: 0.120 0.620 0.500
Cu: 0.380 0.120 0.500
Cu: 0.620 0.880 0.500
Cu: 0.880 0.380 0.500
Se: 0.000 0.000 0.000
Se: 0.500 0.500 0.000

---

2.
The following is a GGA-PBE calculation of a geometry-optimized ScCu2Se structure, from Alexandria.

Properties
The space-group type is P2/m, No. 10. The value obtained for the uncorrected formation energy is -0.368 eV per atom. The calculation puts the spin magnetization at 0.00 Bohr magnetons per cell.

Unit cell a=3.434 b=4.229 c=4.804 alpha=90.00 beta=95.83 gamma=90.00
Element x y z (fractional)
Sc: 0.000 0.000 0.000
Cu: 0.465 0.500 0.758
Cu: 0.535 0.500 0.242
Se: 0.500 0.000 0.500

---

3.
The following is a GGA-PBE calculation of a geometry-optimized ScCuSe2 structure, from Alexandria.

Properties
The space-group type is P2_1/c, No. 14. The value obtained for the uncorrected formation energy is -1.116 eV per atom. The calculation puts the spin magnetization at 0.00 Bohr magnetons per cell.

Unit cell a=9.275 b=7.802 c=12.744 alpha=90.00 beta=132.98 gamma=90.00
Element x y z (fractional)
Sc: 0.004 0.242 0.008
Sc: 0.004 0.258 0.508
Sc: 0.495 0.000 0.237
Sc: 0.495 0.500 0.737
Sc: 0.505 0.000 0.763
Sc: 0.505 0.500 0.263
Sc: 0.996 0.742 0.492
Sc: 0.996 0.758 0.992
Cu: 0.167 0.002 0.897
Cu: 0.167 0.498 0.397
Cu: 0.328 0.248 0.852
Cu: 0.328 0.252 0.352
Cu: 0.672 0.748 0.648
Cu: 0.672 0.752 0.148
Cu: 0.833 0.502 0.603
Cu: 0.833 0.998 0.103
Se: 0.160 0.505 0.200
Se: 0.160 0.995 0.700
Se: 0.172 0.508 0.709
Se: 0.172 0.992 0.209
Se: 0.332 0.744 0.041
Se: 0.332 0.756 0.541
Se: 0.334 0.240 0.548
Se: 0.334 0.260 0.048
Se: 0.666 0.740 0.952
Se: 0.666 0.760 0.452
Se: 0.668 0.244 0.459
Se: 0.668 0.256 0.959
Se: 0.828 0.008 0.791
Se: 0.828 0.492 0.291
Se: 0.840 0.005 0.300
Se: 0.840 0.495 0.800

---

4.
The following is a GGA-PBE calculation of a geometry-optimized ScCuSe2 structure, from Alexandria.

Properties
The space-group type is Fm-3m, No. 225. The value obtained for the uncorrected formation energy is -0.654 eV per atom. The calculation puts the spin magnetization at 0.00 Bohr magnetons per cell.

Unit cell a=4.717 b=4.717 c=4.717 alpha=60.00 beta=60.00 gamma=60.00
Element x y z (fractional)
Sc: 0.000 0.000 0.000
Cu: 0.500 0.500 0.500
Se: 0.250 0.250 0.250
Se: 0.750 0.750 0.750

---

5.
The following is a GGA-PBE calculation of a geometry-optimized ScCuSe structure, from Alexandria.

Properties
The value obtained for the energy above the most stable polymorph in this dataset is 319.8 meV/atom. The space-group type is I4mm, No. 107. The value obtained for the uncorrected formation energy is -0.564 eV per atom. The calculation puts the spin magnetization at 0.00 Bohr magnetons per cell.

Unit cell a=5.110 b=5.110 c=5.110 alpha=140.55 beta=140.55 gamma=57.01
Element x y z (fractional)
Sc: 0.000 0.000 0.000
Cu: 0.330 0.330 0.000
Se: 0.666 0.666 0.000

---

6.
The following is a GGA-PBE calculation of a geometry-optimized ScCuSe2 structure, from Alexandria.

Properties
The space-group type is P3m1, No. 156. The value obtained for the uncorrected formation energy is -1.102 eV per atom. The calculation puts the spin magnetization at 0.00 Bohr magnetons per cell.

Unit cell a=3.945 b=3.945 c=6.326 alpha=90.00 beta=90.00 gamma=120.00
Element x y z (fractional)
Sc: 0.000 0.000 0.000
Cu: 0.667 0.333 0.607
Se: 0.333 0.667 0.741
Se: 0.667 0.333 0.226

---

7.
The following is a GGA-PBE calculation of a geometry-optimized ScCuSe2 structure, from Alexandria.

Properties
The space-group type is Cmmm, No. 65. The value obtained for the uncorrected formation energy is -0.673 eV per atom. The calculation puts the spin magnetization at 0.00 Bohr magnetons per cell.

Unit cell a=4.564 b=4.564 c=3.445 alpha=90.00 beta=90.00 gamma=90.30
Element x y z (fractional)
Sc: 0.000 0.000 0.000
Cu: 0.500 0.500 0.000
Se: 0.000 0.500 0.500
Se: 0.500 0.000 0.500

---

8.
The following is a GGA-PBE calculation of a geometry-optimized ScCuSe2 structure, from Alexandria.

Properties
The space-group type is C2/m, No. 12. The value obtained for the uncorrected formation energy is -1.118 eV per atom. The calculation puts the spin magnetization at 0.00 Bohr magnetons per cell.

Unit cell a=7.435 b=7.435 c=6.737 alpha=116.23 beta=116.23 gamma=30.59
Element x y z (fractional)
Sc: 0.240 0.240 0.230
Sc: 0.760 0.760 0.770
Cu: 0.437 0.437 0.101
Cu: 0.563 0.563 0.899
Se: 0.127 0.127 0.783
Se: 0.371 0.371 0.694
Se: 0.629 0.629 0.306
Se: 0.873 0.873 0.217

---

Please write out number 6 again, unchanged.
The following is a GGA-PBE calculation of a geometry-optimized ScCuSe2 structure, from Alexandria.

Properties
The space-group type is P3m1, No. 156. The value obtained for the uncorrected formation energy is -1.102 eV per atom. The calculation puts the spin magnetization at 0.00 Bohr magnetons per cell.

Unit cell a=3.945 b=3.945 c=6.326 alpha=90.00 beta=90.00 gamma=120.00
Element x y z (fractional)
Sc: 0.000 0.000 0.000
Cu: 0.667 0.333 0.607
Se: 0.333 0.667 0.741
Se: 0.667 0.333 0.226